(1)
! Dy5Zr2Sc4, optimized geometry, DFT PBE; values from VASP
! - Total DFT energy (no corrections): -5.7364 eV/atom
! - Magnetic moment: 0.0 μB per formula unit
! - Fermi-level density of states: 14.54 states/eV per cell
&SYSTEM
  ibrav = 0, nat = 11, ntyp = 3
/
ATOMIC_SPECIES
Zr 91.22 Zr.upf
Dy 162.50 Dy.upf
Sc 44.96 Sc.upf
ATOMIC_POSITIONS angstrom
Zr 0.000 0.000 5.878
Zr 1.669 4.299 4.931
Dy 0.000 1.797 3.294
Dy 1.668 0.000 0.000
Dy 0.000 6.801 3.294
Dy 1.669 -2.502 7.515
Dy 1.669 2.502 7.515
Sc 1.669 4.299 2.078
Sc 0.000 2.727 0.000
Sc 0.000 0.000 8.731
Sc 0.000 5.871 0.000
CELL_PARAMETERS angstrom
3.337 0.000 0.000
0.000 8.598 0.000
-1.668 -4.299 10.809

=====

(2)
! DyZrSc6, optimized geometry, DFT PBE; values from VASP
! - Total DFT energy (no corrections): -6.4026 eV/atom
! - Magnetic moment: 0.0 μB per formula unit
! - Fermi-level density of states: 16.61 states/eV per cell
&SYSTEM
  ibrav = 0, nat = 8, ntyp = 3
/
ATOMIC_SPECIES
Sc 44.96 Sc.upf
Zr 91.22 Zr.upf
Dy 162.50 Dy.upf
ATOMIC_POSITIONS angstrom
Sc 2.601 2.548 0.420
Sc 2.601 4.270 3.190
Sc 0.000 2.538 2.346
Sc 0.000 -0.728 2.441
Sc 0.000 1.007 5.232
Sc 2.601 5.817 0.308
Zr 2.601 0.939 3.340
Dy 0.000 -2.321 5.366
CELL_PARAMETERS angstrom
5.201 0.000 0.000
0.000 6.661 -0.216
0.000 -3.143 5.877

=====

(3)
! DyZrSc2, optimized geometry, DFT PBE; values from VASP
! - Total DFT energy (no corrections): -6.3585 eV/atom
! - Magnetic moment: 0.0 μB per formula unit
! - Fermi-level density of states: 6.84 states/eV per cell
&SYSTEM
  ibrav = 0, nat = 4, ntyp = 3
/
ATOMIC_SPECIES
Sc 44.96 Sc.upf
Dy 162.50 Dy.upf
Zr 91.22 Zr.upf
ATOMIC_POSITIONS angstrom
Sc 0.000 0.000 5.563
Sc 0.000 0.000 1.576
Dy 1.896 1.896 3.569
Zr 1.896 1.896 0.000
CELL_PARAMETERS angstrom
3.792 0.000 0.000
0.000 3.792 0.000
0.000 0.000 7.139

=====

(4)
! Dy14ZrSc, optimized geometry, DFT PBE; values from VASP
! - Total DFT energy (no corrections): -4.9172 eV/atom
! - Magnetic moment: 0.0 μB per formula unit
! - Fermi-level density of states: 19.91 states/eV per cell
&SYSTEM
  ibrav = 0, nat = 16, ntyp = 3
/
ATOMIC_SPECIES
Dy 162.50 Dy.upf
Sc 44.96 Sc.upf
Zr 91.22 Zr.upf
ATOMIC_POSITIONS angstrom
Dy 3.542 6.680 2.395
Dy 5.491 5.152 0.000
Dy 0.500 2.696 7.475
Dy 4.014 3.167 2.398
Dy 3.542 6.680 7.475
Dy 2.488 1.219 0.000
Dy 2.486 1.216 4.935
Dy 4.014 3.167 7.473
Dy 0.500 2.696 2.395
Dy 0.028 6.210 2.394
Dy 0.028 6.210 7.476
Dy 5.493 5.155 4.935
Dy 5.958 1.682 4.935
Dy 2.021 4.688 4.935
Sc 2.021 4.688 0.000
Zr 5.958 1.683 0.000
CELL_PARAMETERS angstrom
6.942 0.931 0.000
-0.932 6.942 0.000
0.000 0.000 9.870